## Ba2CdHPb (PBE-GGA)

Data for a relaxed structure of Ba2CdHPb.

Properties
* relative energy among the computed polymorphs: 0 meV per atom

abc: 5.530 5.530 4.961
angles: 90.00 90.00 90.00
Space group P4/mmm (No. 123)
Asymmetric unit:
Ba 0.000 0.500 0.000
Cd 0.000 0.000 0.500
H 0.000 0.000 0.000
Pb 0.500 0.500 0.500


## BaCdHPd2 (PBE-GGA)

Data for a relaxed structure of BaCdHPd2.

Properties
* final energy: -3.757 eV per atom

abc: 4.473 11.959 7.553
angles: 90.00 90.00 90.00
Space group Cmcm (No. 63)
Asymmetric unit:
Ba 0.000 0.061 0.250
Cd 0.000 0.219 0.750
H 0.000 0.500 0.000
Pd 0.000 0.352 0.057


## Ba2CdHPd (PBE-GGA)

Data for a relaxed structure of Ba2CdHPd.

Properties
* relative energy among the computed polymorphs: 0 meV per atom

abc: 7.493 4.572 9.092
angles: 90.00 106.41 90.00
Space group P2_1/m (No. 11)
Asymmetric unit:
Ba 0.219 0.250 0.408
Ba 0.233 0.250 0.956
Cd 0.357 0.750 0.711
H 0.158 0.750 0.149
Pd 0.401 0.750 0.228


## Ba2CdHPd6 (PBE-GGA)

Data for a relaxed structure of Ba2CdHPd6.

Properties
* final energy: -4.272 eV per atom

abc: 9.362 9.386 6.452
angles: 90.00 133.45 90.00
Space group C2/m (No. 12)
Asymmetric unit:
Ba 0.000 0.242 0.000
Cd 0.000 0.000 0.500
H 0.000 0.500 0.500
Pd 0.000 0.286 0.500
Pd 0.206 0.500 0.483
Pd 0.207 0.500 0.930


## BaCdH8Pd2 (PBE-GGA)

Data for a relaxed structure of BaCdH8Pd2.

Properties
* final energy: -3.306 eV per atom

abc: 4.8647 4.8647 6.9552
angles: 90.00 90.00 120.00
Space group P-3 (No. 147)
Asymmetric unit:
Ba 0.0000 0.0000 0.0000
Cd 0.0000 0.0000 0.5000
H 0.0240 0.6770 0.3277
H 0.3333 0.6667 0.8924
Pd 0.3333 0.6667 0.6562


## Ba2CdHPd (PBE-GGA)

Data for a relaxed structure of Ba2CdHPd.

Properties
* relative energy among the computed polymorphs: 46 meV per atom

abc: 5.898 5.898 3.887
angles: 90.00 90.00 90.00
Space group P4/mmm (No. 123)
Asymmetric unit:
Ba 0.000 0.500 0.000
Cd 0.000 0.000 0.500
H 0.500 0.500 0.000
Pd 0.500 0.500 0.500


## Ba2CdHPd (PBE-GGA)

Data for a relaxed structure of Ba2CdHPd.

Properties
* relative energy among the computed polymorphs: 126 meV per atom

abc: 5.488 5.488 4.448
angles: 90.00 90.00 90.00
Space group P4/mmm (No. 123)
Asymmetric unit:
Ba 0.000 0.500 0.000
Cd 0.000 0.000 0.500
H 0.000 0.000 0.000
Pd 0.500 0.500 0.500


## Ba2CdH6Pt (PBE-GGA)

Data for a relaxed structure of Ba2CdH6Pt.

Properties
* final energy: -3.493 eV per atom

abc: 8.306 8.368 8.457
angles: 90.00 90.00 90.00
Space group Fmmm (No. 69)
Asymmetric unit:
Ba 0.250 0.250 0.250
Cd 0.000 0.000 0.000
H 0.000 0.000 0.291
H 0.000 0.210 0.500
H 0.211 0.000 0.500
Pt 0.000 0.000 0.500


## BaCdH6Pt2 (PBE-GGA)

Data for a relaxed structure of BaCdH6Pt2.

Properties
* final energy: -3.817 eV per atom

abc: 7.956 11.897 6.525
angles: 90.00 115.43 90.00
Space group C2/c (No. 15)
Asymmetric unit:
Ba 0.000 0.142 0.250
Cd 0.000 0.332 0.750
H 0.081 0.403 0.068
H 0.183 0.032 0.031
H 0.214 0.215 0.663
Pt 0.192 0.124 0.846


## RbBa2CdH (PBE-GGA)

Data for a relaxed structure of RbBa2CdH.

Properties
* final energy: -1.927 eV per atom

abc: 5.688 5.688 5.882
angles: 90.00 90.00 90.00
Space group P4/mmm (No. 123)
Asymmetric unit:
Rb 0.000 0.000 0.000
Ba 0.000 0.500 0.500
Cd 0.500 0.500 0.000
H 0.000 0.000 0.500


## BaCdHRh (PBE-GGA)

Data for a relaxed structure of BaCdHRh.

Properties
* final energy: -3.739 eV per atom

abc: 4.396 4.396 9.108
angles: 90.00 90.00 90.00
Space group P4/nmm (No. 129, origin choice 2)
Asymmetric unit:
Ba 0.250 0.250 0.185
Cd 0.250 0.750 0.500
H 0.250 0.250 0.881
Rh 0.250 0.250 0.697


## Ba2Cd2H4Rh (PBE-GGA)

Data for a relaxed structure of Ba2Cd2H4Rh.

Properties
* final energy: -3.194 eV per atom

abc: 6.583 6.583 8.022
angles: 90.00 90.00 90.00
Space group I4/mmm (No. 139)
Asymmetric unit:
Ba 0.000 0.500 0.250
Cd 0.000 0.000 0.167
H 0.185 0.185 0.500
Rh 0.000 0.000 0.500


Number 1: V 151.7 Å³ per cell, mass density 6.5 g cm⁻³. Number 2: V 404.0 Å³ per cell, mass density 7.6 g cm⁻³. Number 3: V 298.8 Å³ per cell, mass density 5.5 g cm⁻³. Number 4: V 411.6 Å³ per cell, mass density 8.3 g cm⁻³. Number 5: V 142.5 Å³ per cell, mass density 5.5 g cm⁻³. Number 6: V 135.2 Å³ per cell, mass density 6.1 g cm⁻³. Number 7: V 134.0 Å³ per cell, mass density 6.1 g cm⁻³. Number 8: V 587.8 Å³ per cell, mass density 6.6 g cm⁻³. Number 9: V 557.8 Å³ per cell, mass density 7.7 g cm⁻³. Number 10: V 190.3 Å³ per cell, mass density 4.1 g cm⁻³. Number 11: V 176.0 Å³ per cell, mass density 6.7 g cm⁻³. Number 12: V 347.7 Å³ per cell, mass density 5.8 g cm⁻³.